Arrangement A

CaCr2Fe (PBE-GGA, optimized geometry); space group = Cm; calculated volume = 17.25 Å³/atom; total magnetic moment = 1.5 Bohr magnetons per cell
1.0
4.5434 -0.0865 0.0440
3.5839 2.7939 0.0440
1.4195 0.4729 5.3230
Cr Ca Fe
2 1 1
Direct
0.0435 0.0435 0.8816 Cr
0.7493 0.7493 0.7470 Cr
0.2452 0.2452 0.2558 Ca
0.4619 0.4619 0.6157 Fe

Arrangement B

CaCr2Fe (PBE-GGA, optimized geometry); space group = C2/m; calculated volume = 16.90 Å³/atom; total magnetic moment = 1.1 Bohr magnetons per cell
1.0
-3.9313 -1.1675 -2.2594
-2.8889 -3.5859 -0.8482
-3.6728 0.5750 3.6983
Cr Ca Fe
2 1 1
Direct
0.0384 0.0384 0.8728 Cr
0.4616 0.4616 0.6272 Cr
0.2500 0.2500 0.2500 Ca
0.7500 0.7500 0.7500 Fe

Arrangement C

CaCr2Fe (PBE-GGA, optimized geometry); space group = Imm2; calculated volume = 17.16 Å³/atom; total magnetic moment = 2.7 Bohr magnetons per cell
1.0
5.3243 0.0096 -0.0675
2.1196 4.8842 0.0675
-3.0065 -3.5351 2.6108
Cr Ca Fe
2 1 1
Direct
0.9657 0.9657 0.0000 Cr
0.7386 0.2386 0.5000 Cr
0.2576 0.7576 0.5000 Ca
0.5381 0.5381 0.0000 Fe

Arrangement D

CaCr2Fe (PBE-GGA, optimized geometry); space group = P4mm; calculated volume = 16.40 Å³/atom; total magnetic moment = 3.5 Bohr magnetons per cell
1.0
2.9954 0.0000 0.0000
0.0000 2.9954 0.0000
0.0000 0.0000 7.3134
Cr Ca Fe
2 1 1
Direct
0.0000 0.0000 0.0738 Cr
0.5000 0.5000 0.2566 Cr
0.5000 0.5000 0.7342 Ca
0.0000 0.0000 0.4355 Fe

Q: Which of them is the least stable? A: arrangement C.

Arrangement A

CaCr2Fe (PBE-GGA, optimized geometry); space group = C2/m; calculated volume = 14.31 Å³/atom; total magnetic moment = 1.1 Bohr magnetons per cell
1.0
-0.6387 -2.8571 -4.4048
3.8263 -1.0450 3.4987
-1.0262 -2.0568 1.0513
Cr Ca Fe
2 1 1
Direct
0.0000 0.0000 0.0000 Cr
0.5000 0.5000 0.0000 Cr
0.0000 0.5000 0.5000 Ca
0.5000 0.0000 0.5000 Fe

Arrangement B

CaCr2Fe (PBE-GGA, optimized geometry); space group = P4/mmm; calculated volume = 14.71 Å³/atom; total magnetic moment = 0.0 Bohr magnetons per cell
1.0
2.6677 0.0000 0.0000
0.0000 2.6677 0.0000
0.0000 0.0000 8.2685
Cr Ca Fe
2 1 1
Direct
0.0000 0.0000 0.0618 Cr
0.0000 0.0000 0.4382 Cr
0.5000 0.5000 0.7500 Ca
0.5000 0.5000 0.2500 Fe

Q: Which of them is the least stable? A: arrangement A.

Arrangement A

CaCr2Fe (PBE-GGA, optimized geometry); space group = R-3m; calculated volume = 15.10 Å³/atom; total magnetic moment = 1.0 Bohr magnetons per cell
1.0
9.1796 -0.0439 -0.0257
8.7725 2.7037 -0.0257
8.7725 1.2997 2.3709
Cr Ca Fe
2 1 1
Direct
0.9860 0.9860 0.9860 Cr
0.5140 0.5140 0.5140 Cr
0.7500 0.7500 0.7500 Ca
0.2500 0.2500 0.2500 Fe

Arrangement B

CaCr2Fe (PBE-GGA, optimized geometry); space group = I4/mmm; calculated volume = 14.84 Å³/atom; total magnetic moment = 1.3 Bohr magnetons per cell
1.0
5.2051 -0.0542 0.0000
2.7355 4.4287 0.0000
-3.9703 -2.1872 2.5591
Cr Ca Fe
2 1 1
Direct
0.0000 0.0000 0.0000 Cr
0.5000 0.5000 0.0000 Cr
0.7500 0.2500 0.5000 Ca
0.2500 0.7500 0.5000 Fe

Arrangement C

CaCr2Fe (PBE-GGA, optimized geometry); space group = Immm; calculated volume = 15.36 Å³/atom; total magnetic moment = 1.9 Bohr magnetons per cell
1.0
5.4112 -0.0513 -0.0286
2.6824 4.6999 0.0286
-3.3786 -3.4877 2.3887
Cr Ca Fe
2 1 1
Direct
0.9582 0.9582 0.0000 Cr
0.5418 0.5418 0.0000 Cr
0.2500 0.7500 0.5000 Ca
0.7500 0.2500 0.5000 Fe

Q: Which of them is the least stable? A: arrangement B.

Arrangement A

CaCr2Fe (PBE-GGA, optimized geometry); space group = F-43m; calculated volume = 16.68 Å³/atom; total magnetic moment = 2.7 Bohr magnetons per cell
1.0
-0.2456 -4.3340 -1.3721
3.3470 -2.9079 1.0333
-0.7200 -3.3125 3.0390
Cr Ca Fe
2 1 1
Direct
0.0000 0.0000 0.0000 Cr
0.2500 0.2500 0.2500 Cr
0.5000 0.5000 0.5000 Ca
0.7500 0.7500 0.7500 Fe

Arrangement B

CaCr2Fe (PBE-GGA, optimized geometry); space group = Cmmm; calculated volume = 15.98 Å³/atom; total magnetic moment = 7.2 Bohr magnetons per cell
1.0
4.9454 -0.0199 0.0000
-1.7753 4.6158 0.0000
0.0000 0.0000 2.8049
Cr Ca Fe
2 1 1
Direct
0.0000 0.0000 0.0000 Cr
0.5000 0.5000 0.0000 Cr
0.0000 0.5000 0.5000 Ca
0.5000 0.0000 0.5000 Fe

Q: Which of them is the least stable? A: arrangement B.